(1)
# Pr3SnSe2

A geometry-optimized Pr3SnSe2 structure (PBE, the Alexandria database).

Cell: 7.5856 7.5856 7.5847 Å, 99.64 99.64 120.03°
Fractional coordinates of all 12 atoms:
Pr 0.0000 0.5000 0.0000
Pr 0.1549 0.3267 0.4972
Pr 0.3267 0.1549 0.9972
Pr 0.5000 0.0000 0.5000
Pr 0.6733 0.8451 0.0028
Pr 0.8451 0.6733 0.5028
Sn 0.4187 0.5813 0.2500
Sn 0.5813 0.4187 0.7500
Se 0.0837 0.9163 0.2500
Se 0.2527 0.7473 0.7500
Se 0.7473 0.2527 0.2500
Se 0.9163 0.0837 0.7500

As for the volume: 29.7 Å³/atom. The energy above the most stable polymorph in this dataset comes out at 0.0 meV per atom. The uncorrected energy is -68.68 eV per cell. As for the crystal system: monoclinic. The total magnetization is 0.00 Bohr magnetons per cell.



(2)
# Sr3Cu6As5

A geometry-optimized Sr3Cu6As5 structure (PBE, the Alexandria database).

Cell: 4.1478 12.5147 10.4098 Å, 90.00 90.00 90.00°
Fractional coordinates of all 28 atoms:
Sr 0.2500 0.0898 0.2478
Sr 0.2500 0.4102 0.2478
Sr 0.2500 0.7500 0.2580
Sr 0.7500 0.2500 0.7420
Sr 0.7500 0.5898 0.7522
Sr 0.7500 0.9102 0.7522
Cu 0.2500 0.0704 0.8847
Cu 0.2500 0.2500 0.5077
Cu 0.2500 0.2500 0.9950
Cu 0.2500 0.4296 0.8847
Cu 0.2500 0.5797 0.4953
Cu 0.2500 0.9203 0.4953
Cu 0.7500 0.0797 0.5047
Cu 0.7500 0.4203 0.5047
Cu 0.7500 0.5704 0.1153
Cu 0.7500 0.7500 0.0050
Cu 0.7500 0.7500 0.4923
Cu 0.7500 0.9296 0.1153
As 0.2500 0.0798 0.6425
As 0.2500 0.4202 0.6425
As 0.2500 0.6154 0.9924
As 0.2500 0.7500 0.6201
As 0.2500 0.8846 0.9924
As 0.7500 0.1154 0.0076
As 0.7500 0.2500 0.3799
As 0.7500 0.3846 0.0076
As 0.7500 0.5798 0.3575
As 0.7500 0.9202 0.3575

As for the volume: 19.3 Å³/atom. The uncorrected energy is -120.63 eV per cell. As for the crystal system: orthorhombic. The total magnetization is 0.00 Bohr magnetons per cell. The value obtained for the formation energy from the elements is -718 kJ/mol of formula units.



(3)
# Ac2Cd7Hg

A geometry-optimized Ac2Cd7Hg structure (PBE, the Alexandria database).

Cell: 4.8273 4.8273 11.7682 Å, 90.00 90.00 90.00°
Fractional coordinates of all 10 atoms:
Ac 0.0000 0.5000 0.2473
Ac 0.5000 0.0000 0.7527
Cd 0.0000 0.0000 0.0000
Cd 0.0000 0.0000 0.5000
Cd 0.0000 0.5000 0.6328
Cd 0.0000 0.5000 0.8656
Cd 0.5000 0.0000 0.1344
Cd 0.5000 0.0000 0.3672
Cd 0.5000 0.5000 0.5000
Hg 0.5000 0.5000 0.0000

As for the volume: 27.4 Å³/atom. The uncorrected energy is -17.42 eV per cell. As for the crystal system: tetragonal. The total magnetization is 0.00 Bohr magnetons per cell. The value obtained for the formation energy from the elements is -241 kJ/mol of formula units.



(4)
# InPt3Se

A geometry-optimized InPt3Se structure (PBE, the Alexandria database).

Cell: 4.9498 4.9498 4.9498 Å, 90.00 90.00 90.00°
Fractional coordinates of all 5 atoms:
In 0.0000 0.0000 0.0000
Pt 0.0000 0.0000 0.5000
Pt 0.0000 0.5000 0.0000
Pt 0.5000 0.0000 0.0000
Se 0.5000 0.5000 0.5000

As for the volume: 24.3 Å³/atom. The energy above the most stable polymorph in this dataset comes out at 757.3 meV per atom. The uncorrected energy is -18.48 eV per cell. As for the crystal system: cubic. The total magnetization is 0.00 Bohr magnetons per cell.



(5)
# Ta2PdPt2

A geometry-optimized Ta2PdPt2 structure (PBE, the Alexandria database).

Cell: 7.8965 7.8965 2.8224 Å, 90.00 90.00 90.00°
Fractional coordinates of all 10 atoms:
Ta 0.1646 0.3354 0.0000
Ta 0.3354 0.8354 0.0000
Ta 0.6646 0.1646 0.0000
Ta 0.8354 0.6646 0.0000
Pd 0.0000 0.0000 0.0000
Pd 0.5000 0.5000 0.0000
Pt 0.1303 0.6303 0.5000
Pt 0.3697 0.1303 0.5000
Pt 0.6303 0.8697 0.5000
Pt 0.8697 0.3697 0.5000

As for the volume: 17.6 Å³/atom. The energy above the most stable polymorph in this dataset comes out at 135.4 meV per atom. The uncorrected energy is -85.29 eV per cell. As for the crystal system: tetragonal. The total magnetization is 0.00 Bohr magnetons per cell. The value obtained for the formation energy from the elements is -161 kJ/mol of formula units.



(6)
# AgTe2Cl

A geometry-optimized AgTe2Cl structure (PBE, the Alexandria database).

Cell: 4.9460 3.3025 6.2657 Å, 90.00 90.41 90.00°
Fractional coordinates of all 4 atoms:
Ag 0.0000 0.0000 0.0000
Te 0.5000 0.0000 0.5000
Te 0.5000 0.5000 0.0000
Cl 0.0000 0.5000 0.5000

As for the volume: 25.6 Å³/atom. The uncorrected energy is -10.41 eV per cell. As for the crystal system: monoclinic. The total magnetization is 0.00 Bohr magnetons per cell.



(7)
# KNa2AsH

A geometry-optimized KNa2AsH structure (PBE, the Alexandria database).

Cell: 4.7550 4.7550 5.1606 Å, 90.00 90.00 90.00°
Fractional coordinates of all 5 atoms:
K 0.0000 0.0000 0.0000
Na 0.0000 0.5000 0.5000
Na 0.5000 0.0000 0.5000
As 0.5000 0.5000 0.0000
H 0.0000 0.0000 0.5000

As for the volume: 23.3 Å³/atom. The uncorrected energy is -12.52 eV per cell. As for the crystal system: tetragonal. The total magnetization is 0.98 Bohr magnetons per cell.



(8)
# Tb7Ho2Th2

A geometry-optimized Tb7Ho2Th2 structure (PBE, the Alexandria database).

Cell: 7.9786 7.9786 6.1004 Å, 105.88 105.88 91.49°
Fractional coordinates of all 11 atoms:
Tb 0.0000 0.0000 0.0000
Tb 0.0621 0.5880 0.8279
Tb 0.2353 0.2353 0.5837
Tb 0.4120 0.9379 0.1721
Tb 0.5880 0.0621 0.8279
Tb 0.7647 0.7647 0.4163
Tb 0.9379 0.4120 0.1721
Ho 0.2184 0.7816 0.5000
Ho 0.7816 0.2184 0.5000
Th 0.4198 0.4198 0.1944
Th 0.5802 0.5802 0.8056

As for the volume: 32.5 Å³/atom. The energy above the most stable polymorph in this dataset comes out at 0.0 meV per atom. The uncorrected energy is -54.45 eV per cell. As for the crystal system: monoclinic. The total magnetization is 0.00 Bohr magnetons per cell. The value obtained for the formation energy from the elements is 189 kJ/mol of formula units.